No. 1
The following is a PBEsol calculation of a relaxed V6SiGe crystal, from the Alexandria database.

a = 4.6686 Å, b = 4.6686 Å, c = 4.6686 Å
α = 90.00°, β = 90.00°, γ = 90.00°
With the nearest neighbours (Å) after each atom.
Element x y z (fractional)
V 0.0000 0.2571 0.5000  2 V 2.27-2.40
V 0.0000 0.7429 0.5000  2 V 2.27-2.40
V 0.2571 0.5000 0.0000  2 V 2.27-2.40
V 0.5000 0.0000 0.2571  2 V 2.27-2.40
V 0.5000 0.0000 0.7429  2 V 2.27-2.40
V 0.7429 0.5000 0.0000  2 V 2.27-2.40
Si 0.5000 0.5000 0.5000  12 V 2.60
Ge 0.0000 0.0000 0.0000  12 V 2.62

Computed properties:
- E_tot: -9.01 eV per atom
- Formation energy (no corrections): -0.4497 eV/atom



No. 2
The following is a PBEsol calculation of a relaxed Cd2PbBr crystal, from the Alexandria database.

a = 6.5237 Å, b = 6.5237 Å, c = 6.5237 Å
α = 149.17°, β = 133.08°, γ = 57.20°
With the nearest neighbours (Å) after each atom.
Element x y z (fractional)
Cd 0.2422 0.2422 0.0000  6 Cd 3.13-3.47, 2 Pb 3.27, 2 Br 3.42
Cd 0.7578 0.7578 0.0000  6 Cd 3.13-3.47, 2 Pb 3.27, 2 Br 3.42
Pb 0.0000 0.5000 0.5000  4 Br 3.12, 4 Cd 3.27, 2 Pb 3.47
Br 0.5000 0.0000 0.5000  4 Pb 3.12, 4 Cd 3.42, 2 Br 3.47

Computed properties:
- E_tot: -2.15 eV per atom
- Formation energy (no corrections): -0.0838 eV/atom



No. 3
The following is a PBEsol calculation of a relaxed Rb2BrF crystal, from the Alexandria database.

a = 7.0487 Å, b = 7.0487 Å, c = 7.0487 Å
α = 112.59°, β = 112.59°, γ = 103.40°
With the nearest neighbours (Å) after each atom.
Element x y z (fractional)
Rb 0.0541 0.6250 0.9291  2 F 2.64
Rb 0.3750 0.3041 0.4291  2 F 2.64
Rb 0.6959 0.1250 0.0709  2 F 2.64
Rb 0.8750 0.9459 0.5709  2 F 2.64
Br 0.2500 0.7500 0.5000  4 Rb 3.36
Br 0.5000 0.5000 0.0000  4 Rb 3.36
F 0.0000 0.0000 0.0000  4 Rb 2.64
F 0.7500 0.2500 0.5000  4 Rb 2.64

Computed properties:
- E_tot: -3.59 eV per atom
- Formation energy (no corrections): -2.1312 eV/atom



No. 4
The following is a PBEsol calculation of a relaxed CuAs2Pb2 crystal, from the Alexandria database.

a = 6.2689 Å, b = 6.2689 Å, c = 5.8727 Å
α = 90.00°, β = 90.00°, γ = 90.00°
With the nearest neighbours (Å) after each atom.
Element x y z (fractional)
Cu 0.0000 0.0000 0.0000  4 As 2.42
Cu 0.5000 0.5000 0.0000  4 As 2.42
As 0.1397 0.3603 0.0000  2 Cu 2.42, 1 As 2.48
As 0.3603 0.8603 0.0000  2 Cu 2.42, 1 As 2.48
As 0.6397 0.1397 0.0000  2 Cu 2.42, 1 As 2.48
As 0.8603 0.6397 0.0000  2 Cu 2.42, 1 As 2.48
Pb 0.1950 0.3050 0.5000  2 As 2.98, 4 Pb 3.21
Pb 0.3050 0.8050 0.5000  2 As 2.98, 4 Pb 3.21
Pb 0.6950 0.1950 0.5000  2 As 2.98, 4 Pb 3.21
Pb 0.8050 0.6950 0.5000  2 As 2.98, 4 Pb 3.21

Computed properties:
- Energy relative to the elements: 0.0687 eV/atom
- E_tot: -4.44 eV per atom



No. 5
The following is a PBEsol calculation of a relaxed Rb2Hg3Te4 crystal, from the Alexandria database.

a = 12.0955 Å, b = 7.3748 Å, c = 13.9512 Å
α = 90.00°, β = 90.00°, γ = 90.00°
With the nearest neighbours (Å) after each atom.
Element x y z (fractional)
Rb 0.1436 0.1500 0.0540  4 Hg 3.65-4.06, 8 Te 3.66-4.08
Rb 0.1436 0.8500 0.5540  4 Hg 3.65-4.06, 8 Te 3.66-4.08
Rb 0.3564 0.3500 0.5540  4 Hg 3.65-4.06, 8 Te 3.66-4.08
Rb 0.3564 0.6500 0.0540  4 Hg 3.65-4.06, 8 Te 3.66-4.08
Rb 0.6436 0.3500 0.9460  4 Hg 3.65-4.06, 8 Te 3.66-4.08
Rb 0.6436 0.6500 0.4460  4 Hg 3.65-4.06, 8 Te 3.66-4.08
Rb 0.8564 0.1500 0.4460  4 Hg 3.65-4.06, 8 Te 3.66-4.08
Rb 0.8564 0.8500 0.9460  4 Hg 3.65-4.06, 8 Te 3.66-4.08
Hg 0.0000 0.3788 0.2500  4 Te 2.85-2.86
Hg 0.0000 0.6212 0.7500  4 Te 2.85-2.86
Hg 0.1456 0.1912 0.7637  3 Te 2.76-2.88
Hg 0.1456 0.8088 0.2637  3 Te 2.76-2.88
Hg 0.3544 0.3088 0.2637  3 Te 2.76-2.88
Hg 0.3544 0.6912 0.7637  3 Te 2.76-2.88
Hg 0.5000 0.1212 0.7500  4 Te 2.85-2.86
Hg 0.5000 0.8788 0.2500  4 Te 2.85-2.86
Hg 0.6456 0.3088 0.2363  3 Te 2.76-2.88
Hg 0.6456 0.6912 0.7363  3 Te 2.76-2.88
Hg 0.8544 0.1912 0.7363  3 Te 2.76-2.88
Hg 0.8544 0.8088 0.2363  3 Te 2.76-2.88
Te 0.0599 0.3644 0.6052  2 Hg 2.76-2.86
Te 0.0599 0.6356 0.1052  2 Hg 2.76-2.86
Te 0.1567 0.1512 0.3431  3 Hg 2.76-2.88
Te 0.1567 0.8488 0.8431  3 Hg 2.76-2.88
Te 0.3433 0.3488 0.8431  3 Hg 2.76-2.88
Te 0.3433 0.6512 0.3431  3 Hg 2.76-2.88
Te 0.4401 0.1356 0.1052  2 Hg 2.76-2.86
Te 0.4401 0.8644 0.6052  2 Hg 2.76-2.86
Te 0.5599 0.1356 0.3948  2 Hg 2.76-2.86
Te 0.5599 0.8644 0.8948  2 Hg 2.76-2.86
Te 0.6567 0.3488 0.6569  3 Hg 2.76-2.88
Te 0.6567 0.6512 0.1569  3 Hg 2.76-2.88
Te 0.8433 0.1512 0.1569  3 Hg 2.76-2.88
Te 0.8433 0.8488 0.6569  3 Hg 2.76-2.88
Te 0.9401 0.3644 0.8948  2 Hg 2.76-2.86
Te 0.9401 0.6356 0.3948  2 Hg 2.76-2.86

Computed properties:
- E_tot: -2.47 eV per atom
- Formation energy (no corrections): -0.4812 eV/atom



No. 6
The following is a PBEsol calculation of a relaxed RbTe2Pb2 crystal, from the Alexandria database.

a = 6.8211 Å, b = 6.8211 Å, c = 6.8211 Å
α = 128.62°, β = 128.62°, γ = 75.62°
With the nearest neighbours (Å) after each atom.
Element x y z (fractional)
Rb 0.0000 0.0000 0.0000  2 Pb 3.78, 8 Te 4.00
Te 0.2500 0.7500 0.5000  4 Pb 3.15
Te 0.7500 0.2500 0.5000  4 Pb 3.15
Pb 0.3508 0.3508 0.0000  4 Te 3.15, 1 Pb 3.22
Pb 0.6492 0.6492 0.0000  4 Te 3.15, 1 Pb 3.22

Computed properties:
- E_tot: -3.66 eV per atom
- Formation energy (no corrections): -0.4432 eV/atom



No. 7
The following is a PBEsol calculation of a relaxed Rb3CaCl crystal, from the Alexandria database.

a = 6.5145 Å, b = 6.5145 Å, c = 6.5145 Å
α = 90.00°, β = 90.00°, γ = 90.00°
With the nearest neighbours (Å) after each atom.
Element x y z (fractional)
Rb 0.0000 0.0000 0.5000  2 Cl 3.26
Rb 0.0000 0.5000 0.0000  2 Cl 3.26
Rb 0.5000 0.0000 0.0000  2 Cl 3.26
Ca 0.5000 0.5000 0.5000  12 Rb 4.61
Cl 0.0000 0.0000 0.0000  6 Rb 3.26

Computed properties:
- E_tot: -2.01 eV per atom
- Formation energy (no corrections): -0.5617 eV/atom



No. 8
The following is a PBEsol calculation of a relaxed KNa3Os crystal, from the Alexandria database.

a = 5.6325 Å, b = 5.6325 Å, c = 5.6325 Å
α = 90.00°, β = 90.00°, γ = 90.00°
With the nearest neighbours (Å) after each atom.
Element x y z (fractional)
K 0.0000 0.0000 0.0000  12 Na 3.98
Na 0.0000 0.5000 0.5000  2 Os 2.82
Na 0.5000 0.0000 0.5000  2 Os 2.82
Na 0.5000 0.5000 0.0000  2 Os 2.82
Os 0.5000 0.5000 0.5000  6 Na 2.82

Computed properties:
- Energy relative to the elements: 1.1663 eV/atom
- E_tot: -2.34 eV per atom



No. 9
The following is a PBEsol calculation of a relaxed Tc2HW crystal, from the Alexandria database.

a = 4.1748 Å, b = 4.1748 Å, c = 4.1748 Å
α = 60.00°, β = 60.00°, γ = 60.00°
With the nearest neighbours (Å) after each atom.
Element x y z (fractional)
Tc 0.2500 0.2500 0.2500  4 H 2.56, 4 W 2.56
Tc 0.7500 0.7500 0.7500  4 H 2.56, 4 W 2.56
H 0.0000 0.0000 0.0000  8 Tc 2.56
W 0.5000 0.5000 0.5000  8 Tc 2.56

Computed properties:
- E_tot: -9.18 eV per atom



No. 10
The following is a PBEsol calculation of a relaxed Mg2TaCr crystal, from the Alexandria database.

a = 5.5289 Å, b = 5.5289 Å, c = 5.5289 Å
α = 146.40°, β = 134.15°, γ = 58.03°
With the nearest neighbours (Å) after each atom.
Element x y z (fractional)
Mg 0.2343 0.2343 0.0000  4 Mg 2.70, 2 Cr 2.77
Mg 0.7657 0.7657 0.0000  4 Mg 2.70, 2 Cr 2.77
Ta 0.5000 0.0000 0.5000  4 Cr 2.68
Cr 0.0000 0.5000 0.5000  4 Ta 2.68, 4 Mg 2.77

Computed properties:
- Energy relative to the elements: 0.4546 eV/atom
- E_tot: -6.10 eV per atom



No. 11
The following is a PBEsol calculation of a relaxed HfTlMo3 crystal, from the Alexandria database.

a = 4.7507 Å, b = 4.7507 Å, c = 4.7507 Å
α = 90.00°, β = 90.00°, γ = 90.00°
With the nearest neighbours (Å) after each atom.
Element x y z (fractional)
Hf 0.0000 0.0000 0.0000  6 Mo 2.38
Tl 0.5000 0.5000 0.5000  12 Mo 3.36
Mo 0.0000 0.0000 0.5000  2 Hf 2.38
Mo 0.0000 0.5000 0.0000  2 Hf 2.38
Mo 0.5000 0.0000 0.0000  2 Hf 2.38

Computed properties:
- Energy relative to the elements: 1.9475 eV/atom
- E_tot: -7.74 eV per atom



No. 12
The following is a PBEsol calculation of a relaxed P3PbI crystal, from the Alexandria database.

a = 5.0657 Å, b = 5.0657 Å, c = 5.0657 Å
α = 90.00°, β = 90.00°, γ = 90.00°
With the nearest neighbours (Å) after each atom.
Element x y z (fractional)
P 0.0000 0.0000 0.5000  2 I 2.53
P 0.0000 0.5000 0.0000  2 I 2.53
P 0.5000 0.0000 0.0000  2 I 2.53
Pb 0.5000 0.5000 0.5000  12 P 3.58
I 0.0000 0.0000 0.0000  6 P 2.53

Computed properties:
- E_tot: -3.40 eV per atom
- Formation energy (no corrections): 1.2309 eV/atom



No. 13
The following is a PBEsol calculation of a relaxed IrRu3 crystal, from the Alexandria database.

a = 2.6708 Å, b = 3.7796 Å, c = 5.3491 Å
α = 90.00°, β = 90.00°, γ = 90.00°
With the nearest neighbours (Å) after each atom.
Element x y z (fractional)
Ir 0.0000 0.0000 0.0000  2 Ir 2.67, 10 Ru 2.67-2.68
Ru 0.0000 0.0000 0.5000  10 Ru 2.66-2.67, 2 Ir 2.67
Ru 0.5000 0.5000 0.2538  8 Ru 2.63-2.72, 4 Ir 2.68
Ru 0.5000 0.5000 0.7462  8 Ru 2.63-2.72, 4 Ir 2.68

Computed properties:
- Energy relative to the elements: 0.0337 eV/atom
- E_tot: -10.05 eV per atom



No. 14
The following is a PBEsol calculation of a relaxed La3Al2Ga3SnO14 crystal, from the Alexandria database.

a = 8.2044 Å, b = 8.2044 Å, c = 5.1290 Å
α = 90.00°, β = 90.00°, γ = 120.00°
With the nearest neighbours (Å) after each atom.
Element x y z (fractional)
La 0.0000 0.5691 0.0000  6 O 2.42-2.63
La 0.4309 0.4309 0.0000  6 O 2.42-2.63
La 0.5691 0.0000 0.0000  6 O 2.42-2.63
Al 0.3333 0.6667 0.5361  4 O 1.75-1.77
Al 0.6667 0.3333 0.4639  4 O 1.75-1.77
Ga 0.0000 0.2461 0.5000  4 O 1.84-1.87
Ga 0.2461 0.0000 0.5000  4 O 1.84-1.87
Ga 0.7539 0.7539 0.5000  4 O 1.84-1.87
Sn 0.0000 0.0000 0.0000  6 O 2.07
O 0.0824 0.8528 0.2413  1 Ga 1.84, 1 Sn 2.07
O 0.1472 0.2296 0.2413  1 Ga 1.84, 1 Sn 2.07
O 0.1512 0.4647 0.6912  1 Al 1.77, 1 Ga 1.87
O 0.2296 0.1472 0.7587  1 Ga 1.84, 1 Sn 2.07
O 0.3135 0.8488 0.6912  1 Al 1.77, 1 Ga 1.87
O 0.3333 0.6667 0.1955  1 Al 1.75
O 0.4647 0.1512 0.3088  1 Al 1.77, 1 Ga 1.87
O 0.5353 0.6865 0.6912  1 Al 1.77, 1 Ga 1.87
O 0.6667 0.3333 0.8045  1 Al 1.75
O 0.6865 0.5353 0.3088  1 Al 1.77, 1 Ga 1.87
O 0.7704 0.9176 0.2413  1 Ga 1.84, 1 Sn 2.07
O 0.8488 0.3135 0.3088  1 Al 1.77, 1 Ga 1.87
O 0.8528 0.0824 0.7587  1 Ga 1.84, 1 Sn 2.07
O 0.9176 0.7704 0.7587  1 Ga 1.84, 1 Sn 2.07

Computed properties:
- E_tot: -7.55 eV per atom
- Formation energy (no corrections): -2.6770 eV/atom



No. 15
The following is a PBEsol calculation of a relaxed ReSiAg crystal, from the Alexandria database.

a = 4.1992 Å, b = 4.1992 Å, c = 4.1992 Å
α = 60.00°, β = 60.00°, γ = 60.00°
With the nearest neighbours (Å) after each atom.
Element x y z (fractional)
Re 0.0000 0.0000 0.0000  4 Ag 2.57, 4 Si 2.57
Si 0.2500 0.2500 0.2500  4 Re 2.57
Ag 0.7500 0.7500 0.7500  4 Re 2.57

Computed properties:
- E_tot: -6.67 eV per atom
- Formation energy (no corrections): 0.7887 eV/atom



No. 16
The following is a PBEsol calculation of a relaxed Sr2LiTl crystal, from the Alexandria database.

a = 5.2258 Å, b = 6.5829 Å, c = 6.5829 Å
α = 37.82°, β = 90.00°, γ = 90.00°
With the nearest neighbours (Å) after each atom.
Element x y z (fractional)
Sr 0.0000 0.0000 0.0000  3 Tl 3.42-3.56, 4 Li 3.56
Sr 0.5000 0.2934 0.2934  2 Li 3.29, 4 Tl 3.51
Li 0.5000 0.5920 0.5920  2 Tl 3.02, 2 Sr 3.29
Tl 0.0000 0.7143 0.7143  2 Li 3.02

Computed properties:
- Energy relative to the elements: -0.2388 eV/atom
- E_tot: -2.31 eV per atom



No. 17
The following is a PBEsol calculation of a relaxed YTl crystal, from the Alexandria database.

a = 6.1043 Å, b = 6.1043 Å, c = 4.3057 Å
α = 90.00°, β = 90.00°, γ = 136.96°
With the nearest neighbours (Å) after each atom.
Element x y z (fractional)
Y 0.1355 0.8645 0.7500  7 Tl 3.09-3.42
Y 0.8645 0.1355 0.2500  7 Tl 3.09-3.42
Tl 0.4080 0.5920 0.7500  2 Tl 3.00, 5 Y 3.09-3.15
Tl 0.5920 0.4080 0.2500  2 Tl 3.00, 5 Y 3.09-3.15

Computed properties:
- Energy relative to the elements: -0.4427 eV/atom
- E_tot: -5.17 eV per atom



No. 18
The following is a PBEsol calculation of a relaxed ZrCuSbI2 crystal, from the Alexandria database.

a = 5.0709 Å, b = 5.0709 Å, c = 5.1781 Å
α = 90.00°, β = 90.00°, γ = 90.00°
With the nearest neighbours (Å) after each atom.
Element x y z (fractional)
Zr 0.0000 0.0000 0.0000  4 Sb 3.59, 8 I 3.62
Cu 0.5000 0.5000 0.5000  4 I 2.54, 2 Sb 2.59
Sb 0.5000 0.5000 0.0000  2 Cu 2.59
I 0.0000 0.5000 0.5000  2 Cu 2.54
I 0.5000 0.0000 0.5000  2 Cu 2.54

Computed properties:
- E_tot: -3.78 eV per atom
- Formation energy (no corrections): 0.5207 eV/atom



No. 19
The following is a PBEsol calculation of a relaxed MnCo4Ir crystal, from the Alexandria database.

a = 4.6207 Å, b = 4.6207 Å, c = 4.6207 Å
α = 60.00°, β = 60.00°, γ = 60.00°
With the nearest neighbours (Å) after each atom.
Element x y z (fractional)
Mn 0.0000 0.0000 0.0000  12 Co 2.71, 4 Ir 2.83
Co 0.3744 0.3744 0.3744  6 Co 2.30-2.32
Co 0.3744 0.3744 0.8769  6 Co 2.30-2.32
Co 0.3744 0.8769 0.3744  6 Co 2.30-2.32
Co 0.8769 0.3744 0.3744  6 Co 2.30-2.32
Ir 0.7500 0.7500 0.7500  12 Co 2.71, 4 Mn 2.83

Computed properties:
- Energy relative to the elements: 0.1105 eV/atom
- E_tot: -8.31 eV per atom



No. 20
The following is a PBEsol calculation of a relaxed Cu2Pt3 crystal, from the Alexandria database.

a = 4.6103 Å, b = 2.7137 Å, c = 11.0051 Å
α = 90.00°, β = 96.77°, γ = 90.00°
With the nearest neighbours (Å) after each atom.
Element x y z (fractional)
Cu 0.0509 0.2500 0.4039  5 Cu 2.60-2.72, 7 Pt 2.62-2.71
Cu 0.3552 0.7500 0.7968  9 Pt 2.62-2.74, 3 Cu 2.71-2.72
Cu 0.6448 0.2500 0.2032  9 Pt 2.62-2.74, 3 Cu 2.71-2.72
Cu 0.9491 0.7500 0.5961  5 Cu 2.60-2.72, 7 Pt 2.62-2.71
Pt 0.1419 0.7500 0.2080  6 Cu 2.62-2.69, 6 Pt 2.68-2.79
Pt 0.2506 0.2500 0.9970  9 Pt 2.66-2.79, 3 Cu 2.68-2.74
Pt 0.4416 0.2500 0.6004  7 Cu 2.62-2.71, 5 Pt 2.68-2.71
Pt 0.5584 0.7500 0.3996  7 Cu 2.62-2.71, 5 Pt 2.68-2.71
Pt 0.7494 0.7500 0.0030  9 Pt 2.66-2.79, 3 Cu 2.68-2.74
Pt 0.8581 0.2500 0.7920  6 Cu 2.62-2.69, 6 Pt 2.68-2.79

Computed properties:
- Energy relative to the elements: -0.0927 eV/atom
- E_tot: -6.00 eV per atom



no.,total moment (μB per cell)
1,0.00
2,0.00
3,0.00
4,0.00
5,0.00
6,0.00
7,0.00
8,1.49
9,0.00
10,1.15
11,0.00
12,0.00
13,0.00
14,0.00
15,1.18
16,0.00
17,0.00
18,1.06
19,11.12
20,0.00